An optimized crystal structure of LiLaSn2I, computed with PBE.

Cell lengths 6.155, 6.155, 6.229 Å; angles 90.00, 90.00, 90.00 degrees
Space group P4/mmm (No. 123)
Inequivalent atoms, fractional coordinates:
Li1 0.000 0.000 0.000 [1 per cell]
La1 0.500 0.500 0.500 [1 per cell]
Sn1 0.000 0.500 0.500 [2 per cell]
I1 0.500 0.500 0.000 [1 per cell]

## Properties
The total magnetization comes out at 0.00 Bohr magnetons per cell. The value obtained for the energy is -3.16 eV/atom. Its uncorrected formation energy is 121 meV/atom. The density is 3.6 g cm⁻³.